Below is a geometry-optimized Na6Mn2B4PO16 structure, with properties calculated at the PBE with a Hubbard U level.

```
Na6Mn2B4PO16
1.0
0.0000 6.9718 6.9718
6.9718 0.0000 6.9718
6.9718 6.9718 0.0000
Na Mn B P O
12 4 8 2 32
Cartesian
5.2289 5.2289 1.2556
5.2289 1.2556 5.2289
9.2021 5.2289 5.2289
8.7148 8.7148 4.7416
8.7148 4.7416 8.7148
12.6880 8.7148 8.7148
1.2556 5.2289 5.2289
5.2289 9.2021 5.2289
5.2289 5.2289 9.2021
4.7416 8.7148 8.7148
8.7148 12.6880 8.7148
8.7148 8.7148 12.6880
6.9718 3.4859 3.4859
3.4859 6.9718 3.4859
3.4859 3.4859 6.9718
6.9718 6.9718 6.9718
4.0344 4.0344 4.0344
6.4233 6.4233 4.0344
6.4233 4.0344 6.4233
9.9092 7.5204 7.5204
4.0344 6.4233 6.4233
7.5204 9.9092 7.5204
7.5204 7.5204 9.9092
9.9092 9.9092 9.9092
1.7430 1.7430 1.7430
12.2007 12.2007 12.2007
0.8460 0.8460 0.8460
2.6399 2.6399 0.8460
2.6399 0.8460 2.6399
6.6680 5.3868 3.1511
5.0710 3.1511 3.7898
7.3067 3.7898 5.3868
0.8460 2.6399 2.6399
3.7898 5.0710 3.1511
7.3067 6.6680 5.0710
5.3868 3.1511 6.6680
10.1539 8.5569 6.6370
8.8727 6.6370 7.2757
10.7926 7.2757 8.5569
5.3868 7.3067 3.7898
3.1511 3.7898 5.0710
6.6680 5.0710 7.3067
7.2757 8.8727 6.6370
10.7926 10.1539 8.8727
8.5569 6.6370 10.1539
3.1511 6.6680 5.3868
5.0710 7.3067 6.6680
3.7898 5.3868 7.3067
8.5569 10.7926 7.2757
6.6370 7.2757 8.8727
10.1539 8.8727 10.7926
13.0977 11.3038 11.3038
6.6370 10.1539 8.5569
8.8727 10.7926 10.1539
7.2757 8.5569 10.7926
11.3038 13.0977 11.3038
11.3038 11.3038 13.0977
13.0977 13.0977 13.0977
```

Electronic total energy: -6.62 eV/atom